(1)
First-principles (GGA-PBE) data for crystalline IrOF2 at its relaxed geometry, as listed in OQMD via LeMat-Bulk.

Calculated values
E above lowest polymorph = 79 meV/atom

```
data_IrOF2
_space_group_name_H-M_alt 'C 1 2/m 1'
_space_group_IT_number 12
_cell_length_a 8.545
_cell_length_b 3.663
_cell_length_c 3.373
_cell_angle_alpha 90.00
_cell_angle_beta 111.60
_cell_angle_gamma 90.00
loop_
_space_group_symop_operation_xyz
'x,y,z'
'-x,-y,-z'
'-x,y,-z'
'x,-y,z'
'x+1/2,y+1/2,z'
'-x+1/2,-y+1/2,-z'
'-x+1/2,y+1/2,-z'
'x+1/2,-y+1/2,z'
loop_
_atom_site_label
_atom_site_fract_x
_atom_site_fract_y
_atom_site_fract_z
_atom_site_occupancy
Ir1 0.000 0.000 0.000 1
O1 0.000 0.500 0.000 1
F1 0.151 0.000 0.641 1
```


(2)
First-principles (GGA-PBE) data for crystalline Pr3GaBr2Cl at its relaxed geometry, as listed in OQMD via LeMat-Bulk.

Calculated values
E_tot = -32.32 eV for the cell shown

```
data_Pr3GaBr2Cl
_space_group_name_H-M_alt 'P 4/m m m'
_space_group_IT_number 123
_space_group_name_Hall '-P 4 2'
_cell_length_a 5.967
_cell_length_b 5.967
_cell_length_c 6.043
_cell_angle_alpha 90.00
_cell_angle_beta 90.00
_cell_angle_gamma 90.00
loop_
_atom_site_label
_atom_site_fract_x
_atom_site_fract_y
_atom_site_fract_z
_atom_site_occupancy
Pr1 0.000 0.000 0.000 1
Pr2 0.000 0.500 0.500 1
Ga1 0.000 0.000 0.500 1
Br1 0.000 0.500 0.000 1
Cl1 0.500 0.500 0.500 1
```


(3)
First-principles (GGA-PBE) data for crystalline Y2Zn2Pb3 at its relaxed geometry, as listed in OQMD via LeMat-Bulk.

Calculated values
E_tot = -83.30 eV for the cell shown

```
data_Y2Zn2Pb3
_space_group_name_H-M_alt 'R 3 m'
_space_group_IT_number 160
_space_group_name_Hall 'R 3 -2"'
_cell_length_a 5.0845
_cell_length_b 5.0845
_cell_length_c 24.8289
_cell_angle_alpha 90.00
_cell_angle_beta 90.00
_cell_angle_gamma 120.00
loop_
_atom_site_label
_atom_site_fract_x
_atom_site_fract_y
_atom_site_fract_z
_atom_site_occupancy
Y1 0.0000 0.0000 0.0000 1
Y2 0.0000 0.0000 0.4321 1
Zn1 0.0000 0.0000 0.1239 1
Zn2 0.0000 0.0000 0.7160 1
Pb1 0.0000 0.0000 0.2947 1
Pb2 0.0000 0.0000 0.5708 1
Pb3 0.0000 0.0000 0.8408 1
```


(4)
First-principles (GGA-PBE) data for crystalline KNdBeSe3 at its relaxed geometry, as listed in OQMD via LeMat-Bulk.

Calculated values
E_tot = -113.17 eV for the cell shown

```
data_KNdBeSe3
_space_group_name_H-M_alt 'C m c m'
_space_group_IT_number 63
_space_group_name_Hall '-C 2c 2'
_cell_length_a 4.122
_cell_length_b 14.817
_cell_length_c 11.287
_cell_angle_alpha 90.00
_cell_angle_beta 90.00
_cell_angle_gamma 90.00
loop_
_atom_site_label
_atom_site_fract_x
_atom_site_fract_y
_atom_site_fract_z
_atom_site_occupancy
K1 0.000 0.246 0.250 1
Nd1 0.000 0.500 0.000 1
Be1 0.000 0.038 0.750 1
Se1 0.000 0.124 0.587 1
Se2 0.000 0.442 0.750 1
```


(5)
First-principles (GGA-PBE) data for crystalline ScNiHg2 at its relaxed geometry, as listed in OQMD via LeMat-Bulk.

Calculated values
E_tot = -52.08 eV for the cell shown

```
data_ScNiHg2
_space_group_name_H-M_alt 'F -4 3 m'
_space_group_IT_number 216
_space_group_name_Hall 'F -4 2 3'
_cell_length_a 6.671
_cell_length_b 6.671
_cell_length_c 6.671
_cell_angle_alpha 90.00
_cell_angle_beta 90.00
_cell_angle_gamma 90.00
loop_
_atom_site_label
_atom_site_fract_x
_atom_site_fract_y
_atom_site_fract_z
_atom_site_occupancy
Sc1 0.000 0.000 0.000 1
Ni1 0.250 0.250 0.250 1
Hg1 0.000 0.000 0.500 1
Hg2 0.250 0.250 0.750 1
```


(6)
First-principles (GGA-PBE) data for crystalline CsTbHf at its relaxed geometry, as listed in OQMD via LeMat-Bulk.

Calculated values
E_tot = -40.79 eV for the cell shown

```
data_CsTbHf
_space_group_name_H-M_alt 'F -4 3 m'
_space_group_IT_number 216
_space_group_name_Hall 'F -4 2 3'
_cell_length_a 7.395
_cell_length_b 7.395
_cell_length_c 7.395
_cell_angle_alpha 90.00
_cell_angle_beta 90.00
_cell_angle_gamma 90.00
loop_
_atom_site_label
_atom_site_fract_x
_atom_site_fract_y
_atom_site_fract_z
_atom_site_occupancy
Cs1 0.000 0.000 0.000 1
Tb1 0.250 0.250 0.750 1
Hf1 0.250 0.250 0.250 1
```


| no. | total magnetic moment (μB/cell) |
| --- | --- |
| 1 | 0.006 |
| 2 | 0.002 |
| 3 | 0.001 |
| 4 | 0.011 |
| 5 | 0.002 |
| 6 | 0.016 |